{
  "formula": "CaCePm2",
  "functional": "PBE",
  "state": "relaxed",
  "formation_enthalpy_0k_ev_per_atom": 0.079,
  "e_above_lowest_polymorph_ev_per_atom": 0.002,
  "magmom_total_mub_per_fu": 0.34,
  "lattice": [[-1.658, -1.130, -3.026], [1.968, -1.108, -2.843], [-0.045, -11.956, 2.309]],
  "species": ["Ca", "Ce", "Pm", "Pm"],
  "frac_coords": [[0.501, 0.501, 0.498], [0.666, 0.666, 0.001], [0.078, 0.078, 0.767], [0.255, 0.255, 0.234]]
}